Entry 1:
Entry from OQMD via LeMat-Bulk: an optimized crystal structure of SnPt7 (PBE-GGA).

Cell and atoms, written as POSCAR:
```
SnPt7
1.0
2.8727 0.0000 0.0000
0.0000 2.8727 0.0000
0.0000 0.0000 43.6053
Sn Pt
2 14
Cartesian
0.7182 0.7182 7.2188
2.1546 2.1546 36.3865
0.7182 0.7182 11.2695
0.7182 0.7182 15.0999
0.7182 0.7182 18.9167
0.7182 0.7182 22.7656
0.7182 0.7182 26.6013
0.7182 0.7182 30.4089
0.7182 0.7182 34.3253
2.1546 2.1546 9.2799
2.1546 2.1546 13.1963
2.1546 2.1546 17.0040
2.1546 2.1546 20.8397
2.1546 2.1546 24.6885
2.1546 2.1546 28.5054
2.1546 2.1546 32.3357
```

Properties
The total magnetization comes out at 0.03 μB/f.u. The crystal system is tetragonal. As for the symmetry: P4/nmm. The energy relative to the lowest polymorph listed for this composition is 42 meV/atom. For the total energy, the calculation gives -92.66 eV for the cell shown.


Entry 2:
Entry from OQMD via LeMat-Bulk: an optimized crystal structure of LiTe5Pd3 (PBE-GGA).

Cell and atoms, written as POSCAR:
```
LiTe5Pd3
1.0
5.9092 0.0000 0.0000
-2.9546 5.1175 0.0000
0.0000 0.0000 7.7567
Li Te Pd
1 5 3
Cartesian
0.0000 0.0000 0.0000
0.0000 0.0000 3.8783
0.0000 3.4117 1.7076
0.0000 3.4117 6.0490
2.9546 1.7058 1.7076
2.9546 1.7058 6.0490
-1.4773 2.5588 3.8783
2.9546 0.0000 3.8783
1.4773 2.5588 3.8783
```

Properties
The crystal system is hexagonal. As for the symmetry: P6/mmm. For the total energy, the calculation gives -34.91 eV for the cell shown.


Repeat the second record exactly.
Entry from OQMD via LeMat-Bulk: an optimized crystal structure of LiTe5Pd3 (PBE-GGA).

Cell and atoms, written as POSCAR:
```
LiTe5Pd3
1.0
5.9092 0.0000 0.0000
-2.9546 5.1175 0.0000
0.0000 0.0000 7.7567
Li Te Pd
1 5 3
Cartesian
0.0000 0.0000 0.0000
0.0000 0.0000 3.8783
0.0000 3.4117 1.7076
0.0000 3.4117 6.0490
2.9546 1.7058 1.7076
2.9546 1.7058 6.0490
-1.4773 2.5588 3.8783
2.9546 0.0000 3.8783
1.4773 2.5588 3.8783
```

Properties
The crystal system is hexagonal. As for the symmetry: P6/mmm. For the total energy, the calculation gives -34.91 eV for the cell shown.